Entry 1:
The following is a DFT calculation (PBE) of an optimized crystal structure of SnGeSe2.

a b c (Å): 3.6938 3.6938 26.6803
angles (deg): 90.00 90.00 120.00
Last column: nearest neighbours and their distance in Å.
Space group R-3m (No. 166, hexagonal axes)
Inequivalent atoms, fractional coordinates:
1 Sn 0.0000 0.0000 0.0000 [3 per cell]  2 Se 2.91
2 Ge 0.0000 0.0000 0.5000 [3 per cell]  6 Se 2.63
3 Se 0.0000 0.0000 0.1091 [6 per cell]  3 Ge 2.63, 1 Sn 2.91

Computed properties:
Uncorrected formation energy ... -0.09 eV/atom
E ... -47.84 eV/cell
N(E_F) ... 1.8 states/eV/f.u.

***

Entry 2:
The following is a DFT calculation (PBE) of an optimized crystal structure of SnGe3Se.

a b c (Å): 5.3282 5.3282 5.3282
angles (deg): 90.00 90.00 90.00
Last column: nearest neighbours and their distance in Å.
Space group Pm-3m (No. 221)
Inequivalent atoms, fractional coordinates:
1 Sn 0.0000 0.0000 0.0000 [1 per cell]  6 Ge 2.66
2 Ge 0.0000 0.0000 0.5000 [3 per cell]  2 Sn 2.66
3 Se 0.5000 0.5000 0.5000 [1 per cell]  12 Ge 3.77

Computed properties:
Uncorrected formation energy ... 0.90 eV/atom
E above lowest polymorph ... 323 meV per atom
E ... -16.83 eV/cell
N(E_F) ... 3.6 states/eV/f.u.

***

Entry 3:
The following is a DFT calculation (PBE) of an optimized crystal structure of SnGeSe3.

a b c (Å): 5.2516 5.2516 5.2516
angles (deg): 90.00 90.00 90.00
Last column: nearest neighbours and their distance in Å.
Space group Pm-3m (No. 221)
Inequivalent atoms, fractional coordinates:
1 Sn 0.0000 0.0000 0.0000 [1 per cell]  6 Se 2.63
2 Ge 0.5000 0.5000 0.5000 [1 per cell]  12 Se 3.71
3 Se 0.0000 0.0000 0.5000 [3 per cell]  2 Sn 2.63

Computed properties:
Uncorrected formation energy ... 0.43 eV/atom
E ... -16.94 eV/cell
N(E_F) ... 3.9 states/eV/f.u.

***

Entry 4:
The following is a DFT calculation (PBE) of an optimized crystal structure of Sn2Ge2Se5.

a b c (Å): 14.4707 5.7480 6.1273
angles (deg): 90.00 99.64 90.00
Last column: nearest neighbours and their distance in Å.
Space group C2/m (No. 12)
Inequivalent atoms, fractional coordinates:
1 Sn 0.1268 0.0000 0.3816 [4 per cell]  4 Se 2.82-3.02
2 Ge 0.1614 0.5000 0.8993 [4 per cell]  3 Se 2.48-2.52
3 Se 0.0000 0.5000 0.0000 [2 per cell]  2 Ge 2.51
4 Se 0.1675 0.0000 0.9332 [4 per cell]  1 Ge 2.52
5 Se 0.1760 0.5000 0.5011 [4 per cell]  1 Ge 2.48

Computed properties:
Uncorrected formation energy ... -0.22 eV/atom
E ... -73.26 eV/cell